The following is a meta-GGA SCAN calculation of CaMgCu2Pt at its PBEsol-relaxed geometry, from the Alexandria database.

Its size of the total moment is 0.000 μB/cell. The energy relative to the elements is 1591 meV/atom. As for the total DFT energy (no corrections): -21.454 eV/atom. The space group is P4/mmm (123). The value obtained for the density of states at the Fermi level is 3.020 states/eV/cell.

```
CaMgCu2Pt
1.0
-0.989 -0.156 4.382
3.999 -1.873 0.836
2.076 4.716 0.636
Mg Ca Cu Pt
1 1 2 1
direct
0.000 0.000 0.500 Mg
0.000 0.000 0.000 Ca
0.500 0.000 0.000 Cu
0.000 0.500 0.000 Cu
0.500 0.500 0.500 Pt
```



The following is a meta-GGA SCAN calculation of NiRu3 at its PBEsol-relaxed geometry, from the Alexandria database.

Its size of the total moment is 4.027 μB/cell. The energy relative to the elements is 488 meV/atom. As for the total DFT energy (no corrections): -29.675 eV/atom. The space group is R-3m (166). The value obtained for the density of states at the Fermi level is 3.655 states/eV/cell.

```
NiRu3
1.0
-0.453 -1.484 2.064
-0.230 -3.377 -3.556
4.449 1.731 1.144
Ru Ni
3 1
direct
0.000 0.500 0.500 Ru
0.500 0.500 0.000 Ru
0.500 0.000 0.500 Ru
0.000 0.000 0.000 Ni
```